This record from the Alexandria database describes a geometry-optimized PaCoWO6 structure. The functional is PBE+U.

Space group: P-31c
Electronic total energy, eV/cell: -143.97

abc: 5.572 5.572 8.736
angles: 90.00 90.00 120.00
Fractional positions:
Pa 0.333 0.667 0.250
Pa 0.667 0.333 0.750
Co 0.000 0.000 0.000
Co 0.000 0.000 0.500
W 0.333 0.667 0.750
W 0.667 0.333 0.250
O 0.023 0.355 0.632
O 0.023 0.668 0.868
O 0.332 0.355 0.868
O 0.332 0.977 0.632
O 0.355 0.023 0.132
O 0.355 0.332 0.368
O 0.645 0.668 0.632
O 0.645 0.977 0.868
O 0.668 0.023 0.368
O 0.668 0.645 0.132
O 0.977 0.332 0.132
O 0.977 0.645 0.368